{
  "formula": "Sc7In2Sn2",
  "functional": "PBE-GGA",
  "state": "optimized geometry",
  "sg": "Cmmm",
  "formation_enthalpy_0k_ev_per_atom": -0.162,
  "crystal_system": "orthorhombic",
  "lattice_angstrom": [[6.444, -0.003, -0.762], [0.003, 7.186, 0.003], [-1.162, -0.002, 6.384]],
  "species": ["Sc", "Sc", "Sc", "Sc", "Sc", "Sc", "Sc", "In", "In", "Sn", "Sn"],
  "fractional_positions": [[0.000, 0.287, 0.500], [0.500, 0.713, 0.000], [0.000, 0.713, 0.500], [0.500, 0.287, 0.000], [0.000, 0.000, 0.000], [0.500, 0.726, 0.500], [0.500, 0.274, 0.500], [0.820, 0.500, 0.820], [0.180, 0.500, 0.180], [0.706, 0.000, 0.294], [0.294, 0.000, 0.706]]
}


{
  "formula": "CaBeI2N",
  "functional": "PBE-GGA",
  "state": "optimized geometry",
  "sg": "P4/mmm",
  "crystal_system": "tetragonal",
  "e_above_lowest_polymorph_ev_per_atom": 0.838,
  "lattice_angstrom": [[6.160, 0.000, 0.000], [0.000, 6.160, 0.000], [0.000, 0.000, 4.683]],
  "species": ["I", "I", "Be", "Ca", "N"],
  "fractional_positions": [[0.000, 0.500, 0.000], [0.500, 0.000, 0.000], [0.500, 0.500, 0.500], [0.000, 0.000, 0.000], [0.000, 0.000, 0.500]]
}


{
  "formula": "Th2Rh6C",
  "functional": "PBE-GGA",
  "state": "optimized geometry",
  "sg": "Fm-3m",
  "formation_enthalpy_0k_ev_per_atom": -0.713,
  "crystal_system": "cubic",
  "lattice_angstrom": [[-5.407, -0.704, -2.348], [-2.203, -5.455, -0.798], [-4.481, -1.917, 3.389]],
  "species": ["Th", "Th", "Rh", "Rh", "Rh", "Rh", "Rh", "Rh", "C"],
  "fractional_positions": [[0.250, 0.250, 0.250], [0.750, 0.750, 0.750], [0.250, 0.750, 0.750], [0.250, 0.750, 0.250], [0.750, 0.250, 0.750], [0.750, 0.250, 0.250], [0.750, 0.750, 0.250], [0.250, 0.250, 0.750], [0.000, 0.000, 0.000]]
}


{
  "formula": "Ga6Pd12Au",
  "functional": "PBE-GGA",
  "state": "optimized geometry",
  "sg": "R-3m",
  "formation_enthalpy_0k_ev_per_atom": -0.403,
  "crystal_system": "trigonal",
  "lattice_angstrom": [[7.237, -0.162, -0.228], [-1.951, 6.971, -0.228], [-1.951, -2.513, 6.507]],
  "species": ["Ga", "Ga", "Ga", "Ga", "Ga", "Ga", "Pd", "Pd", "Pd", "Pd", "Pd", "Pd", "Pd", "Pd", "Pd", "Pd", "Pd", "Pd", "Au"],
  "fractional_positions": [[0.704, 0.278, 0.278], [0.278, 0.278, 0.704], [0.278, 0.704, 0.278], [0.722, 0.722, 0.296], [0.296, 0.722, 0.722], [0.722, 0.296, 0.722], [0.878, 0.122, 0.500], [0.854, 0.611, 0.611], [0.611, 0.611, 0.854], [0.389, 0.146, 0.389], [0.389, 0.389, 0.146], [0.146, 0.389, 0.389], [0.122, 0.500, 0.878], [0.500, 0.878, 0.122], [0.122, 0.878, 0.500], [0.878, 0.500, 0.122], [0.500, 0.122, 0.878], [0.611, 0.854, 0.611], [0.000, 0.000, 0.000]]
}


{
  "formula": "TcTe2As",
  "functional": "PBE-GGA",
  "state": "optimized geometry",
  "final_energy_ev_per_cell": -20.4,
  "sg": "Immm",
  "crystal_system": "orthorhombic",
  "lattice_angstrom": [[7.248, 0.000, 0.001], [5.230, 5.019, -0.001], [-5.960, -3.203, 2.599]],
  "species": ["As", "Te", "Te", "Tc"],
  "fractional_positions": [[0.750, 0.250, 0.500], [0.083, 0.083, 0.000], [0.417, 0.417, 0.000], [0.250, 0.750, 0.500]]
}


{
  "formula": "Li2Al2ZnAu5",
  "functional": "PBE-GGA",
  "state": "optimized geometry",
  "sg": "P4/mbm",
  "formation_enthalpy_0k_ev_per_atom": -0.379,
  "crystal_system": "tetragonal",
  "lattice_angstrom": [[3.253, 0.000, 0.000], [0.000, 10.573, 0.000], [0.000, 0.000, 10.573]],
  "species": ["Li", "Li", "Li", "Li", "Al", "Al", "Al", "Al", "Zn", "Zn", "Au", "Au", "Au", "Au", "Au", "Au", "Au", "Au", "Au", "Au"],
  "fractional_positions": [[0.000, 0.666, 0.166], [0.000, 0.334, 0.834], [0.000, 0.166, 0.334], [0.000, 0.834, 0.666], [0.000, 0.135, 0.635], [0.000, 0.865, 0.365], [0.000, 0.635, 0.865], [0.000, 0.365, 0.135], [0.000, 0.000, 0.000], [0.000, 0.500, 0.500], [0.500, 0.192, 0.063], [0.500, 0.808, 0.937], [0.500, 0.063, 0.808], [0.500, 0.692, 0.437], [0.500, 0.937, 0.192], [0.500, 0.308, 0.563], [0.500, 0.563, 0.692], [0.500, 0.437, 0.308], [0.500, 0.500, 0.000], [0.500, 0.000, 0.500]]
}


The calculation returns the following total magnetic moment values, one per record and in order: 0.2, 3.0, 0.0, 0.0, 0.0, 0.0 μB/cell.